1.
A geometry-optimized AlTc2Mo structure. Source: Alexandria via LeMat-Bulk, functional PBEsol.

Results
The calculated formation energy is -0.213 eV per atom. Its space group is P4/mmm (123).

Geometry as CIF:
```
data_AlTc2Mo
_cell_length_a 3.066
_cell_length_b 3.066
_cell_length_c 6.059
_cell_angle_alpha 90.00
_cell_angle_beta 90.00
_cell_angle_gamma 90.00
_space_group_name_H-M_alt 'P 1'
_space_group_IT_number 1
_space_group_name_Hall 'P 1'
loop_
_atom_site_label
_atom_site_type_symbol
_atom_site_fract_x
_atom_site_fract_y
_atom_site_fract_z
Mo1 Mo 0.500 0.500 0.500
Tc1 Tc 0.000 0.000 0.749
Al1 Al 0.500 0.500 0.000
Tc2 Tc 0.000 0.000 0.251
```

2.
A geometry-optimized AlTeMo2 structure. Source: Alexandria via LeMat-Bulk, functional PBEsol.

Results
The energy above the most stable polymorph in this dataset comes out at 0.000 eV/atom. Its space group is P4/mmm (123). The calculation puts the raw formation energy at 221.5 meV/atom.

Geometry as CIF:
```
data_AlTeMo2
_cell_length_a 3.237
_cell_length_b 3.237
_cell_length_c 6.280
_cell_angle_alpha 90.00
_cell_angle_beta 90.00
_cell_angle_gamma 90.00
_space_group_name_H-M_alt 'P 1'
_space_group_IT_number 1
_space_group_name_Hall 'P 1'
loop_
_atom_site_label
_atom_site_type_symbol
_atom_site_fract_x
_atom_site_fract_y
_atom_site_fract_z
Te1 Te 0.500 0.500 0.000
Mo1 Mo 0.000 0.000 0.729
Al1 Al 0.500 0.500 0.500
Mo2 Mo 0.000 0.000 0.271
```

3.
A geometry-optimized AlTeMo2 structure. Source: Alexandria via LeMat-Bulk, functional PBEsol.

Results
The energy above the most stable polymorph in this dataset comes out at 0.053 eV/atom. Its space group is C2/m (12). The calculation puts the raw formation energy at 274.6 meV/atom.

Geometry as CIF:
```
data_AlTeMo2
_cell_length_a 3.270
_cell_length_b 4.755
_cell_length_c 4.845
_cell_angle_alpha 98.27
_cell_angle_beta 90.00
_cell_angle_gamma 110.11
_space_group_name_H-M_alt 'P 1'
_space_group_IT_number 1
_space_group_name_Hall 'P 1'
loop_
_atom_site_label
_atom_site_type_symbol
_atom_site_fract_x
_atom_site_fract_y
_atom_site_fract_z
Al1 Al 0.500 0.000 0.000
Te1 Te 0.000 0.000 0.500
Mo1 Mo 0.250 0.499 0.204
Mo2 Mo 0.750 0.501 0.796
```

4.
A geometry-optimized AlTeMo2 structure. Source: Alexandria via LeMat-Bulk, functional PBEsol.

Results
The energy above the most stable polymorph in this dataset comes out at 0.127 eV/atom. Its space group is Cmm2 (35). The calculation puts the raw formation energy at 348.5 meV/atom.

Geometry as CIF:
```
data_AlTeMo2
_cell_length_a 2.910
_cell_length_b 2.910
_cell_length_c 9.119
_cell_angle_alpha 90.00
_cell_angle_beta 90.00
_cell_angle_gamma 111.17
_space_group_name_H-M_alt 'P 1'
_space_group_IT_number 1
_space_group_name_Hall 'P 1'
loop_
_atom_site_label
_atom_site_type_symbol
_atom_site_fract_x
_atom_site_fract_y
_atom_site_fract_z
Al1 Al 0.500 0.500 0.218
Te1 Te 0.000 0.000 0.515
Mo1 Mo 0.000 0.000 0.992
Mo2 Mo 0.500 0.500 0.775
```

5.
A geometry-optimized AlTeMo2 structure. Source: Alexandria via LeMat-Bulk, functional PBEsol.

Results
The energy above the most stable polymorph in this dataset comes out at 0.131 eV/atom. Its space group is I-4m2 (119). The calculation puts the raw formation energy at 352.4 meV/atom.

Geometry as CIF:
```
data_AlTeMo2
_cell_length_a 4.023
_cell_length_b 4.023
_cell_length_c 4.980
_cell_angle_alpha 113.82
_cell_angle_beta 113.82
_cell_angle_gamma 90.00
_space_group_name_H-M_alt 'P 1'
_space_group_IT_number 1
_space_group_name_Hall 'P 1'
loop_
_atom_site_label
_atom_site_type_symbol
_atom_site_fract_x
_atom_site_fract_y
_atom_site_fract_z
Mo1 Mo 0.000 0.000 0.000
Mo2 Mo 0.750 0.250 0.500
Te1 Te 0.500 0.500 0.000
Al1 Al 0.250 0.750 0.500
```

6.
A geometry-optimized AlTe2Mo structure. Source: Alexandria via LeMat-Bulk, functional PBEsol.

Results
Its space group is Cmmm (65). The calculation puts the raw formation energy at 434.5 meV/atom.

Geometry as CIF:
```
data_AlTe2Mo
_cell_length_a 3.298
_cell_length_b 4.883
_cell_length_c 4.883
_cell_angle_alpha 91.13
_cell_angle_beta 90.00
_cell_angle_gamma 90.00
_space_group_name_H-M_alt 'P 1'
_space_group_IT_number 1
_space_group_name_Hall 'P 1'
loop_
_atom_site_label
_atom_site_type_symbol
_atom_site_fract_x
_atom_site_fract_y
_atom_site_fract_z
Al1 Al 0.500 0.000 0.000
Te1 Te 0.000 0.500 0.000
Mo1 Mo 0.500 0.500 0.500
Te2 Te 0.000 0.000 0.500
```

7.
A geometry-optimized AlTe2Mo structure. Source: Alexandria via LeMat-Bulk, functional PBEsol.

Results
Its space group is P4mm (99). The calculation puts the raw formation energy at -105.4 meV/atom.

Geometry as CIF:
```
data_AlTe2Mo
_cell_length_a 3.362
_cell_length_b 3.362
_cell_length_c 7.631
_cell_angle_alpha 90.00
_cell_angle_beta 90.00
_cell_angle_gamma 90.00
_space_group_name_H-M_alt 'P 1'
_space_group_IT_number 1
_space_group_name_Hall 'P 1'
loop_
_atom_site_label
_atom_site_type_symbol
_atom_site_fract_x
_atom_site_fract_y
_atom_site_fract_z
Al1 Al 0.000 0.000 0.540
Te1 Te 0.000 0.000 0.917
Te2 Te 0.500 0.500 0.335
Mo1 Mo 0.500 0.500 0.708
```

8.
A geometry-optimized AlTeMo2 structure. Source: Alexandria via LeMat-Bulk, functional PBEsol.

Results
The energy above the most stable polymorph in this dataset comes out at 0.025 eV/atom. Its space group is Pmm2 (25). The calculation puts the raw formation energy at 246.4 meV/atom.

Geometry as CIF:
```
data_AlTeMo2
_cell_length_a 3.119
_cell_length_b 4.594
_cell_length_c 4.683
_cell_angle_alpha 90.00
_cell_angle_beta 90.00
_cell_angle_gamma 90.00
_space_group_name_H-M_alt 'P 1'
_space_group_IT_number 1
_space_group_name_Hall 'P 1'
loop_
_atom_site_label
_atom_site_type_symbol
_atom_site_fract_x
_atom_site_fract_y
_atom_site_fract_z
Te1 Te 0.000 0.538 0.000
Al1 Al 0.500 0.719 0.500
Mo1 Mo 0.000 0.212 0.500
Mo2 Mo 0.500 0.030 0.000
```

9.
A geometry-optimized AlTeMo2 structure. Source: Alexandria via LeMat-Bulk, functional PBEsol.

Results
The energy above the most stable polymorph in this dataset comes out at 0.006 eV/atom. Its space group is R3m (160). The calculation puts the raw formation energy at 227.1 meV/atom.

Geometry as CIF:
```
data_AlTeMo2
_cell_length_a 3.158
_cell_length_b 3.158
_cell_length_c 8.533
_cell_angle_alpha 79.34
_cell_angle_beta 79.34
_cell_angle_gamma 60.00
_space_group_name_H-M_alt 'P 1'
_space_group_IT_number 1
_space_group_name_Hall 'P 1'
loop_
_atom_site_label
_atom_site_type_symbol
_atom_site_fract_x
_atom_site_fract_y
_atom_site_fract_z
Te1 Te 0.495 0.495 0.515
Mo1 Mo 0.744 0.744 0.769
Mo2 Mo 0.003 0.003 0.990
Al1 Al 0.258 0.258 0.227
```

10.
A geometry-optimized YAlTeMo2 structure. Source: Alexandria via LeMat-Bulk, functional PBEsol.

Results
Its space group is P4/mmm (123). The calculation puts the raw formation energy at 1043.6 meV/atom.

Geometry as CIF:
```
data_YAlTeMo2
_cell_length_a 4.619
_cell_length_b 4.619
_cell_length_c 5.209
_cell_angle_alpha 90.00
_cell_angle_beta 90.00
_cell_angle_gamma 90.00
_space_group_name_H-M_alt 'P 1'
_space_group_IT_number 1
_space_group_name_Hall 'P 1'
loop_
_atom_site_label
_atom_site_type_symbol
_atom_site_fract_x
_atom_site_fract_y
_atom_site_fract_z
Mo1 Mo 0.500 0.000 0.000
Mo2 Mo 0.000 0.500 0.000
Te1 Te 0.000 0.000 0.500
Al1 Al 0.000 0.000 0.000
Y1 Y 0.500 0.500 0.500
```

11.
A geometry-optimized AlTlMo2 structure. Source: Alexandria via LeMat-Bulk, functional PBEsol.

Results
The energy above the most stable polymorph in this dataset comes out at 0.043 eV/atom. The calculated formation energy is 0.426 eV per atom. Its space group is Pmmm (47).

Geometry as CIF:
```
data_AlTlMo2
_cell_length_a 3.329
_cell_length_b 4.456
_cell_length_c 4.493
_cell_angle_alpha 90.00
_cell_angle_beta 90.00
_cell_angle_gamma 90.00
_space_group_name_H-M_alt 'P 1'
_space_group_IT_number 1
_space_group_name_Hall 'P 1'
loop_
_atom_site_label
_atom_site_type_symbol
_atom_site_fract_x
_atom_site_fract_y
_atom_site_fract_z
Al1 Al 0.000 0.500 0.500
Mo1 Mo 0.000 0.000 0.000
Mo2 Mo 0.500 0.000 0.500
Tl1 Tl 0.500 0.500 0.000
```

12.
A geometry-optimized AlTlMo2 structure. Source: Alexandria via LeMat-Bulk, functional PBEsol.

Results
The energy above the most stable polymorph in this dataset comes out at 0.063 eV/atom. The calculated formation energy is 0.447 eV per atom. Its space group is C2/m (12).

Geometry as CIF:
```
data_AlTlMo2
_cell_length_a 2.831
_cell_length_b 5.263
_cell_length_c 5.263
_cell_angle_alpha 115.87
_cell_angle_beta 99.40
_cell_angle_gamma 99.40
_space_group_name_H-M_alt 'P 1'
_space_group_IT_number 1
_space_group_name_Hall 'P 1'
loop_
_atom_site_label
_atom_site_type_symbol
_atom_site_fract_x
_atom_site_fract_y
_atom_site_fract_z
Al1 Al 0.500 0.000 0.000
Tl1 Tl 0.500 0.500 0.500
Mo1 Mo 0.000 0.500 0.000
Mo2 Mo 0.000 0.000 0.500
```

The following total magnetic moment values (in μB/cell) correspond, in order, to the records above: 0.0; 0.0; 0.0; 0.0; 0.0; 0.2; 0.0; 0.0; 0.0; 0.0; 0.0; 0.0.